Record 1
The following is a DFT calculation (PBE) of a relaxed La2SiS crystal.

Unit cell a=5.204 b=5.204 c=5.204 alpha=60.00 beta=60.00 gamma=60.00
Element x y z (fractional)
S 0.500 0.500 0.500
Si 0.000 0.000 0.000
La 0.250 0.250 0.250
La 0.750 0.750 0.750

Calculated values
Energy above the lowest structure with this stoichiometry = 0.3771 eV per atom
Formation energy from raw total energies = -1.062 eV per atom

***

Record 2
The following is a DFT calculation (PBE) of a relaxed KNaLaTaO5 crystal.

Unit cell a=5.842 b=5.842 c=8.396 alpha=90.00 beta=90.00 gamma=90.00
Element x y z (fractional)
K 0.500 0.500 0.000
K 0.000 0.000 0.000
Na 0.500 0.000 0.240
Na 0.000 0.500 0.760
La 0.500 0.500 0.500
La 0.000 0.000 0.500
Ta 0.000 0.500 0.256
Ta 0.500 0.000 0.744
O 0.000 0.500 0.034
O 0.772 0.272 0.326
O 0.228 0.272 0.326
O 0.772 0.728 0.326
O 0.228 0.728 0.326
O 0.272 0.772 0.674
O 0.728 0.772 0.674
O 0.272 0.228 0.674
O 0.728 0.228 0.674
O 0.500 0.000 0.966

Calculated values
Formation energy from raw total energies = -2.768 eV per atom

***

Record 3
The following is a DFT calculation (PBE) of a relaxed ScCo2Tc2 crystal.

Unit cell a=7.347 b=7.347 c=2.631 alpha=90.00 beta=90.00 gamma=90.00
Element x y z (fractional)
Sc 0.000 0.000 0.000
Sc 0.500 0.500 0.000
Co 0.171 0.671 0.500
Co 0.671 0.829 0.500
Co 0.829 0.329 0.500
Co 0.329 0.171 0.500
Tc 0.376 0.876 0.000
Tc 0.876 0.624 0.000
Tc 0.624 0.124 0.000
Tc 0.124 0.376 0.000

Calculated values
Energy above the lowest structure with this stoichiometry = 0.0288 eV per atom